KMg2Cd4, optimized geometry, DFT PBE; DFT total energy = -16.43 eV for the cell shown; volume = 365.2 Å³ per cell; spin magnetization = 0.0 μB/f.u.; SG = Immm (71); formation energy = -0.27 eV per formula unit
1.0
3.298 0.000 0.000
0.000 4.814 0.000
0.000 0.000 22.998
K Mg Cd
2 4 8
direct
0.000 0.000 0.000
0.500 0.500 0.500
0.000 0.500 0.210
0.000 0.500 0.790
0.500 0.000 0.290
0.500 0.000 0.710
0.000 0.000 0.413
0.000 0.000 0.587
0.000 0.500 0.339
0.000 0.500 0.661
0.500 0.000 0.161
0.500 0.000 0.839
0.500 0.500 0.087
0.500 0.500 0.913